DFT (PBE) results for a geometry-optimized CsLiErCl5 structure.

abc: 9.2257 12.3502 10.1094
angles: 90.00 113.88 90.00
Closest atoms and distances in Å follow each position.
Space group C2/c (No. 15)
Unique sites:
Cs 0.0000 0.1614 0.2500  7 Cl 3.42-3.72
Li 0.0000 0.1920 0.7500  4 Cl 2.44-2.47
Er 0.0000 0.5000 0.0000  6 Cl 2.62-2.64
Cl 0.0000 0.4385 0.2500  2 Er 2.64
Cl 0.0903 0.3034 0.5991  1 Li 2.44, 1 Er 2.63
Cl 0.2064 0.0684 0.9116  1 Li 2.47, 1 Er 2.62

Values from the calculation:
The spin magnetization is 0.00 μB per formula unit. Its density of states at the Fermi level is 0.0 states/eV/f.u. Its uncorrected formation energy is -2.1213 eV/atom.